# 1
VASP calculation (PBE) on crystalline Ac4Au at its relaxed geometry.

Computed properties:
Space-group type: Pm-3m (221)
Energy relative to the lowest polymorph listed for this composition (eV/f.u.): 0.48
V (Å³ per atom): 45.96

```
Ac4Au
1.0
-0.048 -4.726 -3.896
-2.754 -3.463 4.235
-5.471 1.785 -2.098
Ac Au
4 1
direct
0.000 0.500 0.500 Ac
0.500 0.000 0.500 Ac
0.000 0.000 0.000 Ac
0.500 0.500 0.000 Ac
0.500 0.500 0.500 Au
```

# 2
VASP calculation (PBE) on crystalline Ac3Au4 at its relaxed geometry.

Computed properties:
Space-group type: R-3 (148)
Energy relative to the lowest polymorph listed for this composition (eV/f.u.): 0.00
V (Å³ per atom): 28.65

```
Ac3Au4
1.0
6.284 0.000 -1.641
-3.162 7.313 -3.538
0.040 0.000 8.718
Au Ac
8 6
direct
0.731 0.163 0.672 Au
0.269 0.837 0.328 Au
0.000 0.000 0.000 Au
0.432 0.490 0.163 Au
0.568 0.510 0.837 Au
0.941 0.672 0.510 Au
0.059 0.328 0.490 Au
0.500 0.000 0.000 Au
0.480 0.251 0.381 Ac
0.228 0.129 0.749 Ac
0.099 0.619 0.871 Ac
0.520 0.749 0.619 Ac
0.901 0.381 0.129 Ac
0.772 0.871 0.251 Ac
```

# 3
VASP calculation (PBE) on crystalline Ac2Au at its relaxed geometry.

Computed properties:
Space-group type: Fddd (70)
Energy relative to the lowest polymorph listed for this composition (eV/f.u.): 0.41
V (Å³ per atom): 40.19

```
Ac2Au
1.0
6.348 0.000 -0.001
-0.012 6.348 -0.001
-3.163 -3.169 5.986
Au Ac
2 4
direct
0.875 0.125 0.250 Au
0.125 0.875 0.750 Au
0.387 0.137 0.274 Ac
0.137 0.387 0.774 Ac
0.613 0.863 0.726 Ac
0.863 0.613 0.226 Ac
```

# 4
VASP calculation (PBE) on crystalline Ac3Au at its relaxed geometry.

Computed properties:
Space-group type: Cmcm (63)
Energy relative to the lowest polymorph listed for this composition (eV/f.u.): 0.00
V (Å³ per atom): 37.72

```
Ac3Au
1.0
-0.184 -4.020 0.942
5.494 0.872 -4.275
6.429 1.726 8.614
Ac Au
6 2
direct
0.136 0.273 0.943 Ac
0.864 0.727 0.057 Ac
0.423 0.847 0.750 Ac
0.136 0.273 0.557 Ac
0.864 0.727 0.443 Ac
0.577 0.153 0.250 Ac
0.266 0.533 0.250 Au
0.734 0.467 0.750 Au
```

# 5
VASP calculation (PBE) on crystalline Ac5Au6 at its relaxed geometry.

Computed properties:
Space-group type: C2/m (12)
V (Å³ per atom): 32.23

```
Ac5Au6
1.0
-0.961 -1.195 -5.695
7.792 -0.019 -1.310
-3.004 -6.626 6.062
Ac Au
5 6
direct
0.569 0.890 0.780 Ac
0.431 0.110 0.220 Ac
0.238 0.309 0.618 Ac
0.762 0.691 0.382 Ac
0.000 0.500 0.000 Ac
0.500 0.306 0.000 Au
0.241 0.499 0.377 Au
0.241 0.878 0.377 Au
0.500 0.694 0.000 Au
0.759 0.122 0.623 Au
0.759 0.501 0.623 Au
```

# 6
VASP calculation (PBE) on crystalline Ac4Au at its relaxed geometry.

Computed properties:
Space-group type: Fdd2 (43)
Energy relative to the lowest polymorph listed for this composition (eV/f.u.): 0.00
V (Å³ per atom): 41.17

```
Ac4Au
1.0
8.059 -0.456 0.000
-3.526 7.261 0.000
-2.266 -3.403 7.233
Ac Au
8 2
direct
0.287 0.518 0.349 Ac
0.137 0.478 0.749 Ac
0.169 0.937 0.651 Ac
0.187 0.919 0.151 Ac
0.768 0.037 0.849 Ac
0.638 0.479 0.751 Ac
0.729 0.388 0.251 Ac
0.728 0.887 0.249 Ac
0.330 0.330 0.000 Au
0.580 0.080 0.500 Au
```

Formation energy from the elements, record by record: -0.7, -5.8, -1.2, -1.6, -8.0, -1.1 eV per formula unit